(1)
Sc2CrW | Alexandria | GGA-PBE | relaxed; E_form = 0.424 eV/atom; ρ = 7554 kg/m³; energy above the most stable polymorph in this dataset = 300.2 meV/atom
1.0
5.538 0.013 0.041
-2.461 4.782 -0.015
0.616 0.834 2.705
W Sc Cr
1 2 1
direct
0.000 0.500 0.500 W
0.000 0.000 0.000 Sc
0.500 0.000 0.500 Sc
0.500 0.500 0.000 Cr

(2)
ScCrW2 | Alexandria | GGA-PBE | relaxed; E_form = 0.459 eV/atom; ρ = 11832 kg/m³; energy above the most stable polymorph in this dataset = 288.5 meV/atom
1.0
-2.404 1.046 0.531
-1.307 -0.795 -4.350
-1.769 -4.780 1.405
Sc W Cr
1 2 1
direct
0.500 0.500 0.750 Sc
0.000 0.000 0.003 W
0.000 0.000 0.497 W
0.500 0.500 0.250 Cr

(3)
Sc2CrW | Alexandria | GGA-PBE | relaxed; E_form = 0.750 eV/atom; ρ = 7532 kg/m³; energy above the most stable polymorph in this dataset = 626.2 meV/atom
1.0
1.673 0.000 9.879
-0.836 1.449 9.879
-0.836 -1.449 9.879
Sc Cr W
2 1 1
direct
0.916 0.916 0.916 Sc
0.084 0.084 0.084 Sc
0.000 0.000 0.000 Cr
0.500 0.500 0.500 W

(4)
ScCrW2 | Alexandria | GGA-PBE | relaxed; E_form = 0.279 eV/atom; ρ = 11893 kg/m³; energy above the most stable polymorph in this dataset = 108.6 meV/atom
1.0
3.157 0.000 0.000
0.000 4.462 0.000
0.000 0.000 4.606
W Cr Sc
2 1 1
direct
0.000 0.000 0.000 W
0.500 0.500 0.000 W
0.500 0.000 0.500 Cr
0.000 0.500 0.500 Sc

Which value of ρ does entry 3 give? 7532 kg/m³

The lowest energy above the most stable polymorph in this dataset belongs to which entry? number 4

Copy entry 1 word for word.
Sc2CrW | Alexandria | GGA-PBE | relaxed; E_form = 0.424 eV/atom; ρ = 7554 kg/m³; energy above the most stable polymorph in this dataset = 300.2 meV/atom
1.0
5.538 0.013 0.041
-2.461 4.782 -0.015
0.616 0.834 2.705
W Sc Cr
1 2 1
direct
0.000 0.500 0.500 W
0.000 0.000 0.000 Sc
0.500 0.000 0.500 Sc
0.500 0.500 0.000 Cr